No. 1
Entry from Alexandria via LeMat-Bulk: an optimized crystal structure of CaPm2Sm3 (PBE).

a b c (Å): 7.4171 6.9575 12.5927
angles (deg): 99.11 116.23 122.24
Last column: nearest neighbours and their distance in Å.
Fractional positions:
Pm  0.4304  0.7016  0.9436  3 Pm 3.55-3.74, 7 Sm 3.59-3.76, 2 Ca 3.69-3.74
Pm  0.7675  0.3638  0.6118  7 Sm 3.63-3.74, 3 Ca 3.63-3.72, 2 Pm 3.67-3.68
Pm  0.5696  0.2984  0.0564  3 Pm 3.55-3.74, 7 Sm 3.59-3.76, 2 Ca 3.69-3.74
Pm  0.2325  0.6362  0.3882  7 Sm 3.63-3.74, 3 Ca 3.63-3.72, 2 Pm 3.67-3.68
Sm  0.9296  0.6857  0.9435  5 Sm 3.54-3.75, 5 Pm 3.64-3.76, 2 Ca 3.66-3.74
Sm  0.7370  0.6386  0.3874  3 Ca 3.63-3.74, 5 Sm 3.63-3.72, 4 Pm 3.65-3.74
Sm  0.2630  0.3614  0.6126  3 Ca 3.63-3.74, 5 Sm 3.63-3.72, 4 Pm 3.65-3.74
Sm  0.5960  0.0257  0.2768  5 Sm 3.59-3.72, 5 Pm 3.59-3.72, 2 Ca 3.71
Sm  0.4040  0.9743  0.7232  5 Sm 3.59-3.72, 5 Pm 3.59-3.72, 2 Ca 3.71
Sm  0.0704  0.3143  0.0565  5 Sm 3.54-3.75, 5 Pm 3.64-3.76, 2 Ca 3.66-3.74
Ca  0.0991  0.0297  0.2780  7 Sm 3.63-3.74, 5 Pm 3.63-3.74
Ca  0.9009  0.9703  0.7220  7 Sm 3.63-3.74, 5 Pm 3.63-3.74

Calculated values
Formation energy from the elements, eV per formula unit: 0.35
Density, g/cm³: 6.16
SG: P-1, No. 2
Calculated volume, Å³/cell: 421.3



No. 2
Entry from Alexandria via LeMat-Bulk: an optimized crystal structure of La3Pm2Pr8 (PBE).

a b c (Å): 5.8714 7.8182 11.2194
angles (deg): 110.39 90.07 90.00
Last column: nearest neighbours and their distance in Å.
Fractional positions:
Pr  0.5002  0.3989  0.2141  1 La 3.21, 1 Pr 3.25, 1 Pm 3.58
Pr  0.0020  0.6748  0.3496  2 Pm 3.42, 4 Pr 3.64-3.65
Pr  0.4998  0.6011  0.7859  1 La 3.21, 1 Pr 3.25, 1 Pm 3.58
Pr  0.5002  0.8152  0.2141  1 La 3.21, 1 Pr 3.25, 1 Pm 3.58
Pr  0.0013  0.8651  0.7301  3 La 3.64-4.07, 2 Pm 3.69-3.70, 7 Pr 3.76-4.00
Pr  0.9987  0.1349  0.2699  3 La 3.64-4.07, 2 Pm 3.69-3.70, 7 Pr 3.76-4.00
Pr  0.4998  0.1848  0.7859  1 La 3.21, 1 Pr 3.25, 1 Pm 3.58
Pr  0.9980  0.3252  0.6504  2 Pm 3.42, 4 Pr 3.64-3.65
La  0.0000  0.7084  0.0000  1 La 3.26, 2 Pr 3.64
La  0.0000  0.2916  0.0000  1 La 3.26, 2 Pr 3.64
La  0.5000  0.0000  0.0000  4 Pr 3.21
Pm  0.4971  0.2416  0.4832  8 Pr 3.42-3.70
Pm  0.5029  0.7584  0.5168  8 Pr 3.42-3.70

Calculated values
Formation energy from the elements, eV per formula unit: 2.63
Density, g/cm³: 6.31
ΔE to the lowest computed polymorph, meV/atom: 68
SG: C2/m, No. 12
Calculated volume, Å³/cell: 482.7



No. 3
Entry from Alexandria via LeMat-Bulk: an optimized crystal structure of Er3InO2 (PBE).

a b c (Å): 5.4530 7.0016 7.0016
angles (deg): 102.31 90.00 90.00
Last column: nearest neighbours and their distance in Å.
Fractional positions:
O  0.5000  0.1568  0.1568  4 Er 2.16-2.22
O  0.0000  0.8432  0.8432  4 Er 2.16-2.22
O  0.0000  0.1568  0.1568  4 Er 2.16-2.22
O  0.5000  0.8432  0.8432  4 Er 2.16-2.22
Er  0.7500  0.8093  0.5984  2 O 2.16
Er  0.2500  0.1907  0.4016  2 O 2.16
Er  0.2500  0.0998  0.9002  4 O 2.22
Er  0.7500  0.9002  0.0998  4 O 2.22
Er  0.2500  0.5984  0.8093  2 O 2.16
Er  0.7500  0.4016  0.1907  2 O 2.16
In  0.7500  0.3157  0.6843  10 Er 3.37-3.63
In  0.2500  0.6843  0.3157  10 Er 3.37-3.63

Calculated values
Density, g/cm³: 8.25
E_form (uncorrected), eV per atom: -2.19
SG: Cmcm, No. 63
Calculated volume, Å³/cell: 261.2



No. 4
Entry from Alexandria via LeMat-Bulk: an optimized crystal structure of CsP2H6 (PBE).

a b c (Å): 7.0214 7.0214 7.9826
angles (deg): 100.77 100.77 125.12
Last column: nearest neighbours and their distance in Å.
Fractional positions:
Cs  0.1788  0.1788  0.0000  10 H 2.85-3.18
Cs  0.4288  0.9288  0.5000  10 H 2.85-3.18
H  0.8467  0.3370  0.8838  1 P 1.46
H  0.2677  0.6172  0.8865  1 P 1.44
H  0.5870  0.5967  0.3838  1 P 1.46
H  0.4532  0.9629  0.1162  1 P 1.46
H  0.0968  0.5558  0.1420  1 P 1.48
H  0.8672  0.0177  0.3865  1 P 1.44
H  0.7307  0.3812  0.1135  1 P 1.44
H  0.4138  0.9548  0.8580  1 P 1.48
H  0.6312  0.4807  0.6135  1 P 1.44
H  0.8058  0.8468  0.6420  1 P 1.48
H  0.2048  0.1638  0.3580  1 P 1.48
H  0.2129  0.2032  0.6162  1 P 1.46
P  0.1137  0.2587  0.4728  3 H 1.44-1.48
P  0.7860  0.6409  0.5272  3 H 1.44-1.48
P  0.5087  0.8637  0.9728  3 H 1.44-1.48
P  0.8909  0.5360  0.0272  3 H 1.44-1.48

Calculated values
E_tot, eV/atom: -3.543
Density, g/cm³: 2.27
SG: Fdd2, No. 43
Calculated volume, Å³/cell: 294.3



No. 5
Entry from Alexandria via LeMat-Bulk: an optimized crystal structure of LaAg3C (PBE).

a b c (Å): 4.5913 4.5913 4.5913
angles (deg): 90.00 90.00 90.00
Last column: nearest neighbours and their distance in Å.
Fractional positions:
Ag  0.5000  0.0000  0.0000  2 C 2.30
Ag  0.0000  0.5000  0.0000  2 C 2.30
Ag  0.0000  0.0000  0.5000  2 C 2.30
La  0.5000  0.5000  0.5000  12 Ag 3.25
C  0.0000  0.0000  0.0000  6 Ag 2.30

Calculated values
Formation energy from the elements, eV per formula unit: 3.06
Density, g/cm³: 8.14
ΔE to the lowest computed polymorph, meV/atom: 0
SG: Pm-3m, No. 221
Calculated volume, Å³/cell: 96.8



No. 6
Entry from Alexandria via LeMat-Bulk: an optimized crystal structure of Be2Co (PBE).

a b c (Å): 3.5052 4.2844 6.7094
angles (deg): 90.00 90.00 90.00
Last column: nearest neighbours and their distance in Å.
Fractional positions:
Be  0.7500  0.8597  0.5190  6 Be 2.14-2.35, 5 Co 2.24-2.34
Be  0.2500  0.1951  0.8144  5 Co 2.20-2.25, 6 Be 2.20-2.35
Be  0.7500  0.3049  0.3144  5 Co 2.20-2.25, 6 Be 2.20-2.35
Be  0.2500  0.6951  0.6856  5 Co 2.20-2.25, 6 Be 2.20-2.35
Be  0.7500  0.8049  0.1856  5 Co 2.20-2.25, 6 Be 2.20-2.35
Be  0.2500  0.1403  0.4810  6 Be 2.14-2.35, 5 Co 2.24-2.34
Be  0.2500  0.6403  0.0190  6 Be 2.14-2.35, 5 Co 2.24-2.34
Be  0.7500  0.3597  0.9810  6 Be 2.14-2.35, 5 Co 2.24-2.34
Co  0.2500  0.1272  0.1387  10 Be 2.20-2.34
Co  0.7500  0.8728  0.8613  10 Be 2.20-2.34
Co  0.2500  0.6272  0.3613  10 Be 2.20-2.34
Co  0.7500  0.3728  0.6387  10 Be 2.20-2.34

Calculated values
Formation energy from the elements, eV per formula unit: -0.91
Density, g/cm³: 5.07
SG: Pnma, No. 62
Calculated volume, Å³/cell: 100.8



No. 7
Entry from Alexandria via LeMat-Bulk: an optimized crystal structure of Ac3Cu (PBE).

a b c (Å): 5.2372 5.2372 5.2372
angles (deg): 90.00 90.00 90.00
Last column: nearest neighbours and their distance in Å.
Fractional positions:
Ac  0.5000  0.0000  0.5000  8 Ac 3.70, 4 Cu 3.70
Ac  0.0000  0.5000  0.5000  8 Ac 3.70, 4 Cu 3.70
Ac  0.5000  0.5000  0.0000  8 Ac 3.70, 4 Cu 3.70
Cu  0.0000  0.0000  0.0000  12 Ac 3.70

Calculated values
Formation energy from the elements, eV per formula unit: 1.03
Density, g/cm³: 8.61
ΔE to the lowest computed polymorph, meV/atom: 308
SG: Pm-3m, No. 221
Calculated volume, Å³/cell: 143.6



No. 8
Entry from Alexandria via LeMat-Bulk: an optimized crystal structure of KMgAgSb2 (PBE).

a b c (Å): 4.8941 4.8941 6.9587
angles (deg): 110.59 110.59 90.00
Last column: nearest neighbours and their distance in Å.
Fractional positions:
Sb  0.6226  0.6226  0.2452  2 Mg 2.89, 2 Ag 2.89, 1 Sb 2.96
Sb  0.3774  0.3774  0.7548  2 Mg 2.89, 2 Ag 2.89, 1 Sb 2.96
Mg  0.7500  0.2500  0.5000  4 Sb 2.89
Ag  0.2500  0.7500  0.5000  4 Sb 2.89
K  0.0000  0.0000  0.0000  8 Sb 3.76, 4 Mg 3.89, 4 Ag 3.89

Calculated values
Density, g/cm³: 4.76
E_form (uncorrected), eV per atom: -0.32
SG: I-4m2, No. 119
Calculated volume, Å³/cell: 144.6



Q: Look up the calculated volume of the first one.
A: 421.3 Å³/cell